Here is a relaxed Ac2HoAl crystal from the Alexandria database. Energies are from GGA-PBE.

mass density: 7.73 g/cm3
formation enthalpy at 0 K: -18 kJ/mol of formula units
polymorph energy (0 for the lowest one): 0.00 kcal/mol of atoms

a b c (Å): 3.9622 3.9622 8.8349
angles (deg): 90.00 90.00 90.00
Closest atoms and distances in Å follow each position.
Fractional coordinates of all 4 atoms:
Ac 0.0000 0.0000 0.7841  4 Al 3.39, 4 Ho 3.76
Ac 0.0000 0.0000 0.2159  4 Al 3.39, 4 Ho 3.76
Ho 0.5000 0.5000 0.5000  8 Ac 3.76, 4 Ho 3.96
Al 0.5000 0.5000 0.0000  8 Ac 3.39

=====

Here is a relaxed PuH6PdPt2 crystal from the Alexandria database. Energies are from GGA-PBE.

mass density: 12.76 g/cm3
calculated total energy: -5.38 eV/atom

a b c (Å): 4.7782 4.7782 5.6348
angles (deg): 64.91 64.91 60.00
Closest atoms and distances in Å follow each position.
Fractional coordinates of all 10 atoms:
Pu 0.0000 0.0000 0.0000  12 H 2.59
H 0.0946 0.5540 0.7973  1 Pt 1.68
H 0.5541 0.0946 0.7973  1 Pt 1.68
H 0.4460 0.4459 0.2027  1 Pt 1.68
H 0.9054 0.4460 0.2027  1 Pt 1.68
H 0.4459 0.9054 0.2027  1 Pt 1.68
H 0.5540 0.5541 0.7973  1 Pt 1.68
Pd 0.5000 0.5000 0.5000  6 H 1.93
Pt 0.7871 0.7871 0.6387  3 H 1.68
Pt 0.2129 0.2129 0.3613  3 H 1.68